A) Material: ScPaFe2
Method: DFT, PBE
State: optimized geometry

Calculated values
- Space group: Fm-3m (225)
- Magnetization: 0.86 μB/f.u.

```
ScPaFe2
1.0
-2.650 3.620 -0.857
-3.776 -0.480 -2.524
-4.113 0.334 1.958
Sc Fe Pa
1 2 1
Direct
0.500 0.500 0.500
0.750 0.750 0.750
0.250 0.250 0.250
0.000 0.000 0.000
```


B) Material: ScPaFe2
Method: DFT, PBE
State: optimized geometry

Calculated values
- Space group: P4/mmm (123)
- Magnetization: 0.59 μB/f.u.

```
ScPaFe2
1.0
3.240 0.000 0.000
0.000 4.539 0.000
0.000 0.000 4.539
Fe Pa Sc
2 1 1
Direct
0.000 0.000 0.500
0.000 0.500 0.000
0.500 0.500 0.500
0.500 0.000 0.000
```


So which one is most stable? That would be B), about 28 meV/atom below the next structure.